MgTl2W: optimized geometry, PBE.

Output
Magnetic moment in μB/cell: 0.000
Space-group type: Cm
V in A^3/atom: 21.37
ΔE_f in kcal/mol of atoms: 15.3
Polymorph energy (0 for the lowest one) in eV/atom: 0.0809
DOS at the Fermi energy in states/eV/f.u.: 1.439

Unit cell a=5.810 b=5.810 c=5.152 alpha=81.66 beta=81.66 gamma=29.81
Fractional positions:
Tl (0.994, 0.994, 0.023)
Mg (0.225, 0.225, 0.247)
W (0.514, 0.514, 0.514)
Tl (0.767, 0.767, 0.716)